Version P
Here is crystalline SmY2O at its relaxed geometry from the Alexandria database. Energies are from PBE.

Cell lengths 3.529, 3.529, 9.059 Å; angles 78.77, 78.77, 60.00 degrees
Fractional coordinates of all 4 atoms:
Sm (0.500, 0.500, 0.500)
Y (0.281, 0.281, 0.156)
Y (0.719, 0.719, 0.844)
O (0.000, 0.000, 0.000)

Computed properties:
Symmetry: R-3m, No. 166
Calculated volume (Å³ per cell): 95
Crystal system: trigonal

---

Version Q
Here is crystalline SmY2O at its relaxed geometry from the Alexandria database. Energies are from PBE.

Cell lengths 3.199, 3.199, 8.859 Å; angles 90.00, 90.00, 90.00 degrees
Fractional coordinates of all 4 atoms:
Sm (0.500, 0.500, 0.500)
Y (0.000, 0.000, 0.174)
Y (0.000, 0.000, 0.826)
O (0.500, 0.500, 0.000)

Computed properties:
Symmetry: P4/mmm, No. 123
Calculated volume (Å³ per cell): 91
Crystal system: tetragonal

---

Which one sits at the bottom of the stability order? version Q does.